# Ba2CdBr | Alexandria | GGA-PBE | optimized geometry
# Energy relative to the lowest polymorph listed for this composition: 176 meV per atom
# ρ: 4.9 g/cm³
# Electronic total energy: -9.3 eV per formula unit
# E_form (uncorrected): -0.73 eV per atom
data_Ba2CdBr
_space_group_name_H-M_alt 'F m -3 m'
_space_group_IT_number 225
_space_group_name_Hall '-F 4 2 3'
_cell_length_a 8.585
_cell_length_b 8.585
_cell_length_c 8.585
_cell_angle_alpha 90.00
_cell_angle_beta 90.00
_cell_angle_gamma 90.00
loop_
_atom_site_label
_atom_site_fract_x
_atom_site_fract_y
_atom_site_fract_z
Ba1 0.250 0.250 0.250
Cd1 0.000 0.000 0.000
Br1 0.000 0.000 0.500